{
  "formula": "VSb2AuI",
  "functional": "PBE",
  "state": "optimized geometry",
  "cell": [[-1.1782, -0.8656, 5.1620], [5.2187, -0.5993, 1.0907], [0.4134, 5.4284, 1.0047]],
  "species": ["I", "Sb", "Sb", "Au", "V"],
  "frac_coords": [[0.0000, 0.0000, 0.5000], [0.0000, 0.5000, 0.0000], [0.5000, 0.0000, 0.0000], [0.0000, 0.0000, 0.0000], [0.5000, 0.5000, 0.5000]],
  "total_energy_ev_per_cell": -16.1,
  "de_polymorph_mev_per_atom": 718
}

***

{
  "formula": "SbWAuI2",
  "functional": "PBE",
  "state": "optimized geometry",
  "cell": [[5.4905, 0.0000, 0.0000], [0.0000, 5.4905, 0.0000], [0.0000, 0.0000, 5.5720]],
  "species": ["I", "I", "Sb", "Au", "W"],
  "frac_coords": [[0.0000, 0.5000, 0.0000], [0.5000, 0.0000, 0.0000], [0.0000, 0.0000, 0.5000], [0.0000, 0.0000, 0.0000], [0.5000, 0.5000, 0.5000]],
  "total_energy_ev_per_cell": -15.7,
  "de_polymorph_mev_per_atom": 635
}

***

{
  "formula": "SbWAuI2",
  "functional": "PBE",
  "state": "optimized geometry",
  "cell": [[-1.3737, -2.1537, -4.7233], [3.1207, -4.2471, 1.0289], [-4.1552, -2.4858, 2.3419]],
  "species": ["I", "I", "Sb", "Au", "W"],
  "frac_coords": [[0.0000, 0.5000, 0.0000], [0.5000, 0.0000, 0.0000], [0.0000, 0.0000, 0.5000], [0.5000, 0.5000, 0.5000], [0.0000, 0.0000, 0.0000]],
  "total_energy_ev_per_cell": -18.9,
  "de_polymorph_mev_per_atom": 0
}

***

{
  "formula": "YSb2AuI",
  "functional": "PBE",
  "state": "optimized geometry",
  "cell": [[-2.1338, 4.9662, 2.3645], [-3.6887, -3.1733, 3.3362], [3.9853, -0.2654, 4.1539]],
  "species": ["I", "Sb", "Sb", "Au", "Y"],
  "frac_coords": [[0.0000, 0.0000, 0.5000], [0.0000, 0.5000, 0.0000], [0.5000, 0.0000, 0.0000], [0.5000, 0.5000, 0.5000], [0.0000, 0.0000, 0.0000]],
  "total_energy_ev_per_cell": -17.7,
  "de_polymorph_mev_per_atom": 196
}

***

N(E_F)
In order: 1.99; 1.26; 0.96; 0.98
Unit: states/eV per atom
Raw formation energy
In order: 1219; 1544; 909; 369
Unit: meV per atom
Magnetization
In order: 0.3; 3.6; 0.3; 0.3
Unit: μB per formula unit